# 1
## CsLiGaTe2 (PBE)

Data for a relaxed structure of CsLiGaTe2.

Cell: 8.8994 8.8994 7.1503 Å, 90.00 90.00 140.26°
Fractional positions:
Cs: 0.2500 0.7500 0.7731
Cs: 0.7500 0.2500 0.2269
Li: 0.2500 0.2500 0.5000
Li: 0.7500 0.7500 0.5000
Ga: 0.0000 0.0000 0.0000
Ga: 0.5000 0.5000 0.0000
Te: 0.1076 0.8924 0.2809
Te: 0.3924 0.6076 0.2809
Te: 0.6076 0.3924 0.7191
Te: 0.8924 0.1076 0.7191

Density of states at the Fermi level in states/eV/cell: 7.2
V in Å³ per atom: 36.2
DFT total energy in eV/atom: -3.00
Theoretical density in g/cm3: 4.26

# 2
## Er2GaPPt6 (PBE)

Data for a relaxed structure of Er2GaPPt6.

Cell: 5.5429 8.5376 8.1259 Å, 90.00 90.00 90.00°
Fractional positions:
Er: 0.2500 0.0158 0.2329
Er: 0.2500 0.4842 0.2329
Er: 0.7500 0.5158 0.7671
Er: 0.7500 0.9842 0.7671
Ga: 0.2500 0.7500 0.7837
Ga: 0.7500 0.2500 0.2163
P: 0.2500 0.2500 0.7399
P: 0.7500 0.7500 0.2601
Pt: 0.0012 0.2500 0.4819
Pt: 0.0030 0.7500 0.0364
Pt: 0.2500 0.0043 0.6201
Pt: 0.2500 0.4957 0.6201
Pt: 0.4970 0.7500 0.0364
Pt: 0.4988 0.2500 0.4819
Pt: 0.5012 0.7500 0.5181
Pt: 0.5030 0.2500 0.9636
Pt: 0.7500 0.5043 0.3799
Pt: 0.7500 0.9957 0.3799
Pt: 0.9970 0.2500 0.9636
Pt: 0.9988 0.7500 0.5181

Density of states at the Fermi level in states/eV/cell: 10.5
V in Å³ per atom: 19.2
Formation enthalpy at 0 K in eV per atom: -0.89
DFT total energy in eV/atom: -6.27
Theoretical density in g/cm3: 13.87

# 3
## LaHo5TmTh2 (PBE)

Data for a relaxed structure of LaHo5TmTh2.

Cell: 9.8372 9.8372 9.8372 Å, 126.09 126.09 79.74°
Fractional positions:
La: 0.2500 0.2500 0.0000
La: 0.7500 0.7500 0.0000
Ho: 0.0000 0.0000 0.0000
Ho: 0.0704 0.5704 0.9126
Ho: 0.1578 0.0704 0.5000
Ho: 0.3422 0.8422 0.9126
Ho: 0.4296 0.3422 0.5000
Ho: 0.5000 0.5000 0.0000
Ho: 0.5704 0.6578 0.5000
Ho: 0.6578 0.1578 0.0874
Ho: 0.8422 0.9296 0.5000
Ho: 0.9296 0.4296 0.0874
Tm: 0.2500 0.7500 0.5000
Tm: 0.7500 0.2500 0.5000
Th: 0.1186 0.3814 0.5000
Th: 0.3814 0.8814 0.2627
Th: 0.6186 0.1186 0.7373
Th: 0.8814 0.6186 0.5000

Density of states at the Fermi level in states/eV/cell: 26.4
V in Å³ per atom: 33.4
Formation enthalpy at 0 K in eV per atom: 0.34
DFT total energy in eV/atom: -4.90
Theoretical density in g/cm3: 8.83

# 4
## Co2SiTe (PBE)

Data for a relaxed structure of Co2SiTe.

Cell: 6.0672 6.0672 6.0672 Å, 36.55 36.55 36.55°
Fractional positions:
Co: 0.0000 0.0000 0.0000
Co: 0.2906 0.2906 0.2906
Si: 0.7081 0.7081 0.7081
Te: 0.5403 0.5403 0.5403

Excess energy over the best structure of this formula in the dataset in eV per atom: 0.204
Density of states at the Fermi level in states/eV/cell: 5.8
V in Å³ per atom: 17.7
DFT total energy in eV/atom: -5.53
Theoretical density in g/cm3: 6.40

# 5
## AcGa3CoRu (PBE)

Data for a relaxed structure of AcGa3CoRu.

Cell: 6.5755 6.5755 6.1275 Å, 90.00 90.00 111.79°
Fractional positions:
Ac: 0.2367 0.7633 0.7500
Ac: 0.7633 0.2367 0.2500
Ga: 0.2540 0.2540 0.0000
Ga: 0.2540 0.2540 0.5000
Ga: 0.2778 0.7222 0.2500
Ga: 0.7222 0.2778 0.7500
Ga: 0.7460 0.7460 0.0000
Ga: 0.7460 0.7460 0.5000
Co: 0.4834 0.5166 0.2500
Co: 0.5166 0.4834 0.7500
Ru: 0.0609 0.9391 0.2500
Ru: 0.9391 0.0609 0.7500

Density of states at the Fermi level in states/eV/cell: 6.1
V in Å³ per atom: 20.5
Formation enthalpy at 0 K in eV per atom: -0.31
DFT total energy in eV/atom: -5.23
Theoretical density in g/cm3: 8.05

# 6
## Ta2CdIr (PBE)

Data for a relaxed structure of Ta2CdIr.

Cell: 2.9549 2.9549 8.2585 Å, 90.00 90.00 90.00°
Fractional positions:
Ta: 0.0000 0.0000 0.0000
Ta: 0.5000 0.5000 0.2672
Cd: 0.0000 0.0000 0.5444
Ir: 0.5000 0.5000 0.7964

Density of states at the Fermi level in states/eV/cell: 4.0
V in Å³ per atom: 18.0
Formation enthalpy at 0 K in eV per atom: -0.06
DFT total energy in eV/atom: -8.43
Theoretical density in g/cm3: 15.35

Repeat the fourth record exactly.
## Co2SiTe (PBE)

Data for a relaxed structure of Co2SiTe.

Cell: 6.0672 6.0672 6.0672 Å, 36.55 36.55 36.55°
Fractional positions:
Co: 0.0000 0.0000 0.0000
Co: 0.2906 0.2906 0.2906
Si: 0.7081 0.7081 0.7081
Te: 0.5403 0.5403 0.5403

Excess energy over the best structure of this formula in the dataset in eV per atom: 0.204
Density of states at the Fermi level in states/eV/cell: 5.8
V in Å³ per atom: 17.7
DFT total energy in eV/atom: -5.53
Theoretical density in g/cm3: 6.40